Entry from Alexandria: a relaxed SrSiPt2 crystal (PBE-GGA).

a = 5.2854 Å, b = 5.2854 Å, c = 5.2854 Å
α = 138.37°, β = 116.01°, γ = 79.28°
Positions (direct):
Sr: 0.2500 0.7500 0.5000
Si: 0.7500 0.2500 0.5000
Pt: 0.5707 0.5707 0.0000
Pt: 0.9293 0.9293 0.0000

Summary:
* M_tot: 0.00 Bohr magnetons per cell
* D(E_F): 1.73 states/eV per cell
* space-group type: Immm
* E_form (uncorrected): -0.510 eV per atom

Entry from Alexandria: a relaxed AcBeH4 crystal (PBE-GGA).

a = 3.9761 Å, b = 4.5506 Å, c = 4.5506 Å
α = 64.98°, β = 64.04°, γ = 64.04°
Positions (direct):
H: 0.3423 0.3918 0.9271
H: 0.6614 0.0742 0.6097
H: 0.6614 0.6137 0.0702
H: 0.3423 0.9312 0.3878
Ac: 0.0018 0.5027 0.4987
Be: 0.5021 0.0027 0.9987

Summary:
* M_tot: 0.00 Bohr magnetons per cell
* D(E_F): 0.95 states/eV per cell
* space-group type: Immm
* total DFT energy (no corrections): -3.8107 eV per atom

Which value of D(E_F) does entry 2 give? 0.95 states/eV per cell

What did the first record say?
Entry from Alexandria: a relaxed SrSiPt2 crystal (PBE-GGA).

a = 5.2854 Å, b = 5.2854 Å, c = 5.2854 Å
α = 138.37°, β = 116.01°, γ = 79.28°
Positions (direct):
Sr: 0.2500 0.7500 0.5000
Si: 0.7500 0.2500 0.5000
Pt: 0.5707 0.5707 0.0000
Pt: 0.9293 0.9293 0.0000

Summary:
* M_tot: 0.00 Bohr magnetons per cell
* D(E_F): 1.73 states/eV per cell
* space-group type: Immm
* E_form (uncorrected): -0.510 eV per atom